1.
This record from Alexandria via LeMat-Bulk describes PbSe2Br after structural relaxation. The functional is PBE-GGA.

Geometry as extended XYZ:
```
4
Lattice="-2.150 -0.845 -3.206 -1.188 -3.372 1.686 -6.449 3.919 3.291" Properties=species:S:1:pos:R:3 pbc="T T T"
Br -3.723 2.262 1.900
Pb -6.557 0.862 1.735
Se -0.401 0.244 0.205
Se -2.330 -1.707 -0.422
```

Summary:
Raw total energy   -3.3436 eV per atom
D(E_F)   0.022 states/eV/atom
Energy above the lowest structure with this stoichiometry   0.080 eV per atom

2.
This record from Alexandria via LeMat-Bulk describes YInSe after structural relaxation. The functional is PBE-GGA.

Geometry as extended XYZ:
```
3
Lattice="-2.415 3.638 -2.262 -4.832 0.562 0.718 -1.672 3.828 2.595" Properties=species:S:1:pos:R:3 pbc="T T T"
In -4.460 4.014 0.525
Se -6.689 6.021 0.788
Y 0.000 0.000 0.000
```

Summary:
Raw total energy   -4.8125 eV per atom
D(E_F)   0.654 states/eV/atom
Energy above the lowest structure with this stoichiometry   0.408 eV per atom

> Which formula does entry 1 have?

PbSe2Br

> What is the energy above the lowest structure with this stoichiometry in the second record?

0.408 eV per atom

> Which of these has the lowest D(E_F)?

PbSe2Br